# 1
# La2HoCo2, relaxed, DFT PBE-GGA
# Space-group type: C2/c (15)
# Crystal system: monoclinic
data_La2HoCo2
_chemical_formula_sum 'La4 Ho2 Co4'
_space_group_name_H-M_alt 'P 1'
_space_group_IT_number 1
_cell_length_a 6.6076
_cell_length_b 6.6076
_cell_length_c 8.4999
_cell_angle_alpha 108.77
_cell_angle_beta 108.77
_cell_angle_gamma 47.78
loop_
_space_group_symop_operation_xyz
'x,y,z'
loop_
_atom_site_label
_atom_site_fract_x
_atom_site_fract_y
_atom_site_fract_z
La1 0.1745 0.1754 0.5875
La2 0.1754 0.1745 0.0875
La3 0.8246 0.8255 0.9125
La4 0.8255 0.8246 0.4125
Ho1 0.4997 0.5003 0.2500
Ho2 0.5003 0.4997 0.7500
Co1 0.3584 0.3599 0.9295
Co2 0.3599 0.3584 0.4295
Co3 0.6401 0.6416 0.5705
Co4 0.6416 0.6401 0.0705

# 2
# LaHoCo10, relaxed, DFT PBE-GGA
# Space-group type: Pmmm (47)
# Crystal system: orthorhombic
data_LaHoCo10
_chemical_formula_sum 'La1 Ho1 Co10'
_space_group_name_H-M_alt 'P 1'
_space_group_IT_number 1
_cell_length_a 3.9491
_cell_length_b 4.9584
_cell_length_c 8.6522
_cell_angle_alpha 90.00
_cell_angle_beta 90.00
_cell_angle_gamma 90.00
loop_
_space_group_symop_operation_xyz
'x,y,z'
loop_
_atom_site_label
_atom_site_fract_x
_atom_site_fract_y
_atom_site_fract_z
La1 0.0000 0.0000 0.0000
Ho1 0.0000 0.5000 0.5000
Co1 0.0000 0.0000 0.3352
Co2 0.0000 0.0000 0.6648
Co3 0.0000 0.5000 0.1729
Co4 0.0000 0.5000 0.8271
Co5 0.5000 0.0000 0.5000
Co6 0.5000 0.2583 0.2597
Co7 0.5000 0.2583 0.7403
Co8 0.5000 0.5000 0.0000
Co9 0.5000 0.7417 0.2597
Co10 0.5000 0.7417 0.7403

| no. | energy of formation from the pure elements (eV per atom) | DOS(E_F) (states/eV/f.u.) |
| --- | --- | --- |
| 1 | -0.07 | 3.16 |
| 2 | -0.07 | 19.34 |